1.
First-principles (PBE-GGA) data for a relaxed NaAc2Al crystal, as listed in Alexandria.

Cell and atoms, written as CIF:
```
data_NaAc2Al
_chemical_formula_sum 'Na4 Ac8 Al4'
_cell_length_a 8.1376
_cell_length_b 8.1376
_cell_length_c 8.1376
_cell_angle_alpha 90.00
_cell_angle_beta 90.00
_cell_angle_gamma 90.00
_symmetry_space_group_name_H-M 'F m -3 m'
_symmetry_Int_Tables_number 225
_symmetry_space_group_name_Hall '-F 4 2 3'
loop_
_atom_site_label
_atom_site_type_symbol
_atom_site_fract_x
_atom_site_fract_y
_atom_site_fract_z
_atom_site_occupancy
Na1 Na 0.0000 0.0000 0.0000 1
Ac1 Ac 0.2500 0.2500 0.2500 1
Al1 Al 0.0000 0.0000 0.5000 1
```

## Properties
Calculated total energy in eV/atom: -3.348
Energy relative to the lowest polymorph listed for this composition in eV per atom: 0.025
Energy relative to the elements in eV per formula unit: -0.1

=====

2.
First-principles (PBE-GGA) data for a relaxed NaAc3Al8 crystal, as listed in Alexandria.

Cell and atoms, written as CIF:
```
data_NaAc3Al8
_chemical_formula_sum 'Na3 Ac9 Al24'
_cell_length_a 5.8538
_cell_length_b 5.8538
_cell_length_c 28.7556
_cell_angle_alpha 90.00
_cell_angle_beta 90.00
_cell_angle_gamma 120.00
_symmetry_space_group_name_H-M 'R 3 m'
_symmetry_Int_Tables_number 160
_symmetry_space_group_name_Hall 'R 3 -2"'
loop_
_atom_site_label
_atom_site_type_symbol
_atom_site_fract_x
_atom_site_fract_y
_atom_site_fract_z
_atom_site_occupancy
Na1 Na 0.0000 0.0000 0.0000 1
Ac1 Ac 0.0000 0.0000 0.1221 1
Ac2 Ac 0.0000 0.0000 0.5012 1
Ac3 Ac 0.0000 0.0000 0.6290 1
Al1 Al 0.0000 0.0000 0.3139 1
Al2 Al 0.0000 0.0000 0.8131 1
Al3 Al 0.0007 0.5004 0.0638 1
Al4 Al 0.1674 0.3347 0.8973 1
```

## Properties
Calculated total energy in eV/atom: -3.898
Energy relative to the elements in eV per formula unit: -3.2

=====

3.
First-principles (PBE-GGA) data for a relaxed NaAc2Al crystal, as listed in Alexandria.

Cell and atoms, written as CIF:
```
data_NaAc2Al
_chemical_formula_sum 'Na1 Ac2 Al1'
_cell_length_a 5.7039
_cell_length_b 5.7039
_cell_length_c 4.1958
_cell_angle_alpha 90.00
_cell_angle_beta 90.00
_cell_angle_gamma 90.00
_symmetry_space_group_name_H-M 'P 4/m m m'
_symmetry_Int_Tables_number 123
_symmetry_space_group_name_Hall '-P 4 2'
loop_
_atom_site_label
_atom_site_type_symbol
_atom_site_fract_x
_atom_site_fract_y
_atom_site_fract_z
_atom_site_occupancy
Na1 Na 0.0000 0.0000 0.0000 1
Ac1 Ac 0.0000 0.5000 0.5000 1
Al1 Al 0.5000 0.5000 0.0000 1
```

## Properties
Calculated total energy in eV/atom: -3.316
Energy relative to the lowest polymorph listed for this composition in eV per atom: 0.058
Energy relative to the elements in eV per formula unit: 0.0

=====

- Number 2 is which compound?
  NaAc3Al8

=====

- The highest calculated total energy belongs to which entry?
  number 3